(1)
Entry from Alexandria via LeMat-Bulk: CsAgP2 after structural relaxation (PBE).

It has space group Fm-3m (No. 225), with a = 7.2894 Å, b = 7.2894 Å, c = 7.2894 Å, α = 90.00°, β = 90.00° and γ = 90.00°. The inequivalent atoms are Cs at (0.0000, 0.0000, 0.0000), Ag at (0.0000, 0.0000, 0.5000) and P at (0.2500, 0.2500, 0.2500).

As for the crystal system: cubic. The value obtained for the formation energy is 883 meV/atom.

(2)
Entry from Alexandria via LeMat-Bulk: CsAgP3 after structural relaxation (PBE).

It has space group Pm-3m (No. 221), with a = 5.0761 Å, b = 5.0761 Å, c = 5.0761 Å, α = 90.00°, β = 90.00° and γ = 90.00°. The inequivalent atoms are Cs at (0.0000, 0.0000, 0.0000), Ag at (0.5000, 0.5000, 0.5000) and P at (0.0000, 0.5000, 0.5000).

As for the crystal system: cubic. The value obtained for the formation energy is 815 meV/atom.

| no. | magnetization (μB/cell) | volume (Å³/cell) |
| --- | --- | --- |
| 1 | 0.0 | 387 |
| 2 | 0.0 | 131 |